1.
Compound: LaPr2Sm2Y4
Source: Alexandria via LeMat-Bulk
Functional: GGA-PBE
Structure: relaxed

**Formation enthalpy at 0 K**: -0.003 eV per atom
**Spin magnetization**: 0.000 μB per formula unit
**Uncorrected energy**: -49.81 eV for the cell shown
**Fermi-level density of states**: 1.47 states/eV/atom

Cell and atoms, written as CIF:
```
data_LaPr2Sm2Y4
_chemical_formula_sum 'La1 Pr2 Sm2 Y4'
_space_group_name_H-M_alt 'P 1'
_space_group_IT_number 1
_cell_length_a 3.6695
_cell_length_b 9.6903
_cell_length_c 9.7368
_cell_angle_alpha 115.25
_cell_angle_beta 90.00
_cell_angle_gamma 100.91
loop_
_space_group_symop_operation_xyz
'x,y,z'
loop_
_atom_site_label
_atom_site_type_symbol
_atom_site_fract_x
_atom_site_fract_y
_atom_site_fract_z
_atom_site_occupancy
La1 La 0.0000 0.0000 0.0000 1
Y1 Y 0.8143 0.6286 0.6629 1
Y2 Y 0.1857 0.3714 0.3371 1
Y3 Y 0.4803 0.9606 0.6638 1
Y4 Y 0.5197 0.0394 0.3362 1
Sm1 Sm 0.1474 0.2947 0.6631 1
Sm2 Sm 0.8526 0.7053 0.3369 1
Pr1 Pr 0.6669 0.3337 0.0012 1
Pr2 Pr 0.3331 0.6663 0.9988 1
```

---

2.
Compound: CaTl4Bi
Source: Alexandria via LeMat-Bulk
Functional: GGA-PBE
Structure: relaxed

**Formation enthalpy at 0 K**: -0.062 eV per atom
**Spin magnetization**: 0.000 μB per formula unit
**Uncorrected energy**: -15.72 eV for the cell shown
**Relative energy among the computed polymorphs**: 0 meV per atom
**Fermi-level density of states**: 0.56 states/eV/atom

Cell and atoms, written as CIF:
```
data_CaTl4Bi
_chemical_formula_sum 'Ca1 Tl4 Bi1'
_space_group_name_H-M_alt 'P 1'
_space_group_IT_number 1
_cell_length_a 6.4497
_cell_length_b 6.4497
_cell_length_c 6.4497
_cell_angle_alpha 60.00
_cell_angle_beta 60.00
_cell_angle_gamma 60.00
loop_
_space_group_symop_operation_xyz
'x,y,z'
loop_
_atom_site_label
_atom_site_type_symbol
_atom_site_fract_x
_atom_site_fract_y
_atom_site_fract_z
_atom_site_occupancy
Bi1 Bi 0.2500 0.2500 0.2500 1
Tl1 Tl 0.6249 0.1253 0.6249 1
Tl2 Tl 0.1253 0.6249 0.6249 1
Tl3 Tl 0.6249 0.6249 0.1253 1
Tl4 Tl 0.6249 0.6249 0.6249 1
Ca1 Ca 0.0000 0.0000 0.0000 1
```

---

3.
Compound: K2DyHfSe4
Source: Alexandria via LeMat-Bulk
Functional: GGA-PBE
Structure: relaxed

**Raw formation energy**: -1.497 eV per atom
**Spin magnetization**: 0.000 μB per formula unit
**Uncorrected energy**: -42.66 eV for the cell shown
**Fermi-level density of states**: 0.36 states/eV/atom

Cell and atoms, written as CIF:
```
data_K2DyHfSe4
_chemical_formula_sum 'K2 Dy1 Hf1 Se4'
_space_group_name_H-M_alt 'P 1'
_space_group_IT_number 1
_cell_length_a 4.0302
_cell_length_b 7.0336
_cell_length_c 8.0557
_cell_angle_alpha 106.65
_cell_angle_beta 90.00
_cell_angle_gamma 90.00
loop_
_space_group_symop_operation_xyz
'x,y,z'
loop_
_atom_site_label
_atom_site_type_symbol
_atom_site_fract_x
_atom_site_fract_y
_atom_site_fract_z
_atom_site_occupancy
Dy1 Dy 0.0000 0.0000 0.0000 1
K1 K 0.0000 0.5000 0.5000 1
K2 K 0.5000 0.0000 0.5000 1
Se1 Se 0.5000 0.7509 0.7943 1
Se2 Se 0.5000 0.2491 0.2057 1
Se3 Se 0.0000 0.7201 0.2002 1
Se4 Se 0.0000 0.2799 0.7998 1
Hf1 Hf 0.5000 0.5000 0.0000 1
```

---

4.
Compound: B2C3
Source: Alexandria via LeMat-Bulk
Functional: GGA-PBE
Structure: relaxed

**Formation enthalpy at 0 K**: 0.393 eV per atom
**Spin magnetization**: 0.000 μB per formula unit
**Uncorrected energy**: -78.13 eV for the cell shown
**Relative energy among the computed polymorphs**: 157 meV per atom
**Fermi-level density of states**: 0.37 states/eV/atom

Cell and atoms, written as CIF:
```
data_B2C3
_chemical_formula_sum 'B4 C6'
_space_group_name_H-M_alt 'P 1'
_space_group_IT_number 1
_cell_length_a 10.4575
_cell_length_b 10.4575
_cell_length_c 10.4575
_cell_angle_alpha 166.24
_cell_angle_beta 166.24
_cell_angle_gamma 19.50
loop_
_space_group_symop_operation_xyz
'x,y,z'
loop_
_atom_site_label
_atom_site_type_symbol
_atom_site_fract_x
_atom_site_fract_y
_atom_site_fract_z
_atom_site_occupancy
B1 B 0.8017 0.8017 0.0000 1
B2 B 0.1983 0.1983 0.0000 1
B3 B 0.4037 0.4037 0.0000 1
B4 B 0.5963 0.5963 0.0000 1
C1 C 0.0430 0.5430 0.5000 1
C2 C 0.4570 0.9570 0.5000 1
C3 C 0.8533 0.3533 0.5000 1
C4 C 0.6467 0.1467 0.5000 1
C5 C 0.0000 0.0000 0.0000 1
C6 C 0.2500 0.7500 0.5000 1
```

---

5.
Compound: KHSeN2
Source: Alexandria via LeMat-Bulk
Functional: GGA-PBE
Structure: relaxed

**Spin magnetization**: 5.059 μB per formula unit
**Uncorrected energy**: -12.38 eV for the cell shown
**Relative energy among the computed polymorphs**: 744 meV per atom
**Fermi-level density of states**: 1.31 states/eV/atom

Cell and atoms, written as CIF:
```
data_KHSeN2
_chemical_formula_sum 'K1 H1 Se1 N2'
_space_group_name_H-M_alt 'P 1'
_space_group_IT_number 1
_cell_length_a 5.7066
_cell_length_b 5.7066
_cell_length_c 6.6347
_cell_angle_alpha 90.00
_cell_angle_beta 90.00
_cell_angle_gamma 90.00
loop_
_space_group_symop_operation_xyz
'x,y,z'
loop_
_atom_site_label
_atom_site_type_symbol
_atom_site_fract_x
_atom_site_fract_y
_atom_site_fract_z
_atom_site_occupancy
K1 K 0.0000 0.0000 0.0000 1
N1 N 0.5000 0.0000 0.0000 1
N2 N 0.0000 0.5000 0.0000 1
Se1 Se 0.0000 0.0000 0.5000 1
H1 H 0.5000 0.5000 0.5000 1
```

---

6.
Compound: Ca3AlTe2F6
Source: Alexandria via LeMat-Bulk
Functional: GGA-PBE
Structure: relaxed

**Raw formation energy**: -2.824 eV per atom
**Spin magnetization**: 0.000 μB per formula unit
**Uncorrected energy**: -61.14 eV for the cell shown
**Fermi-level density of states**: 0.25 states/eV/atom

Cell and atoms, written as CIF:
```
data_Ca3AlTe2F6
_chemical_formula_sum 'Ca3 Al1 Te2 F6'
_space_group_name_H-M_alt 'P 1'
_space_group_IT_number 1
_cell_length_a 5.3088
_cell_length_b 6.4788
_cell_length_c 7.8369
_cell_angle_alpha 114.42
_cell_angle_beta 89.99
_cell_angle_gamma 90.00
loop_
_space_group_symop_operation_xyz
'x,y,z'
loop_
_atom_site_label
_atom_site_type_symbol
_atom_site_fract_x
_atom_site_fract_y
_atom_site_fract_z
_atom_site_occupancy
F1 F 0.7322 0.2092 0.9997 1
F2 F 0.5004 0.1356 0.2712 1
F3 F 0.7322 0.7905 0.9997 1
F4 F 0.2678 0.7908 0.0003 1
F5 F 0.2678 0.2095 0.0003 1
F6 F 0.4996 0.8644 0.7288 1
Ca1 Ca 0.0000 0.5000 0.0000 1
Ca2 Ca 0.5000 0.0000 0.5000 1
Ca3 Ca 0.5000 0.5000 0.5000 1
Te1 Te 0.0001 0.2803 0.5607 1
Te2 Te 0.9999 0.7197 0.4393 1
Al1 Al 0.5000 0.0000 0.0000 1
```

---

7.
Compound: RbHf3Al
Source: Alexandria via LeMat-Bulk
Functional: GGA-PBE
Structure: relaxed

**Formation enthalpy at 0 K**: 2.304 eV per atom
**Spin magnetization**: 0.000 μB per formula unit
**Uncorrected energy**: -23.05 eV for the cell shown
**Relative energy among the computed polymorphs**: 1119 meV per atom
**Fermi-level density of states**: 2.26 states/eV/atom

Cell and atoms, written as CIF:
```
data_RbHf3Al
_chemical_formula_sum 'Rb1 Hf3 Al1'
_space_group_name_H-M_alt 'P 1'
_space_group_IT_number 1
_cell_length_a 4.9937
_cell_length_b 4.9937
_cell_length_c 4.9937
_cell_angle_alpha 90.00
_cell_angle_beta 90.00
_cell_angle_gamma 90.00
loop_
_space_group_symop_operation_xyz
'x,y,z'
loop_
_atom_site_label
_atom_site_type_symbol
_atom_site_fract_x
_atom_site_fract_y
_atom_site_fract_z
_atom_site_occupancy
Rb1 Rb 0.0000 0.0000 0.0000 1
Hf1 Hf 0.0000 0.0000 0.5000 1
Hf2 Hf 0.5000 0.0000 0.0000 1
Hf3 Hf 0.0000 0.5000 0.0000 1
Al1 Al 0.5000 0.5000 0.5000 1
```

---

8.
Compound: CrGaAg2
Source: Alexandria via LeMat-Bulk
Functional: GGA-PBE
Structure: relaxed

**Formation enthalpy at 0 K**: 0.397 eV per atom
**Spin magnetization**: 3.668 μB per formula unit
**Uncorrected energy**: -33.53 eV for the cell shown
**Fermi-level density of states**: 0.49 states/eV/atom

Cell and atoms, written as CIF:
```
data_CrGaAg2
_chemical_formula_sum 'Cr2 Ga2 Ag4'
_space_group_name_H-M_alt 'P 1'
_space_group_IT_number 1
_cell_length_a 3.8654
_cell_length_b 3.8654
_cell_length_c 10.1958
_cell_angle_alpha 79.07
_cell_angle_beta 79.07
_cell_angle_gamma 90.00
loop_
_space_group_symop_operation_xyz
'x,y,z'
loop_
_atom_site_label
_atom_site_type_symbol
_atom_site_fract_x
_atom_site_fract_y
_atom_site_fract_z
_atom_site_occupancy
Ag1 Ag 0.8750 0.8768 0.7500 1
Ag2 Ag 0.6268 0.1250 0.2500 1
Ag3 Ag 0.1232 0.6250 0.2500 1
Ag4 Ag 0.3750 0.3732 0.7500 1
Cr1 Cr 0.5000 0.5000 0.0000 1
Cr2 Cr 0.2500 0.7500 0.5000 1
Ga1 Ga 0.7500 0.2500 0.5000 1
Ga2 Ga 0.0000 0.0000 0.0000 1
```